# ZnPtN | Alexandria | PBE-GGA | relaxed
data_ZnPtN
_chemical_formula_sum 'Zn2 Pt2 N2'
_space_group_name_H-M_alt 'P -1'
_space_group_IT_number 2
_cell_length_a 2.914
_cell_length_b 2.917
_cell_length_c 10.668
_cell_angle_alpha 87.89
_cell_angle_beta 89.84
_cell_angle_gamma 60.44
loop_
_space_group_symop_operation_xyz
'x,y,z'
'-x,-y,-z'
loop_
_atom_site_label
_atom_site_fract_x
_atom_site_fract_y
_atom_site_fract_z
Zn1 0.015 0.473 0.295
Pt1 0.325 0.848 0.890
N1 0.496 0.510 0.444
# Calculated total energy in eV/cell: -31.14
# Volume in A^3/atom: 13.1